First-principles (PBE) data for an optimized crystal structure of TlCl3, as listed in Alexandria.

Output
N(E_F) ... 0.8945 states/eV/atom
Spin magnetization ... 0.0 μB per cell
ΔE_f (raw) ... -229 meV/atom
Space group ... P4/mmm (123)

abc: 4.0985 6.5655 4.0944
angles: 90.00 90.00 90.00
Last column: nearest neighbours and their distance in Å.
Atoms (fractional coordinates):
Cl 0.5000 0.0000 0.4161  4 Cl 2.90
Cl 0.0000 0.0000 0.9161  4 Cl 2.90
Cl 0.5000 0.5000 0.9172  4 Tl 2.90
Tl 0.0000 0.5000 0.4173  4 Cl 2.90